Density functional theory data (PBE with a Hubbard U) for VCrSbO6 after structural relaxation.

**Energy above the lowest structure with this stoichiometry**: 0.000 eV/atom

The structure in extended XYZ format:
```
18
Lattice="4.6155 0.0000 0.0000 0.0000 4.6155 0.0000 0.0000 0.0000 9.2569" Properties=species:S:1:pos:R:3 pbc="T T T"
V 0.0000 0.0000 0.0000
V 2.3077 2.3077 4.6285
Cr 0.0000 0.0000 6.1732
Cr 2.3077 2.3077 1.5447
Sb 0.0000 0.0000 3.0825
Sb 2.3077 2.3077 7.7110
O 0.8863 0.8863 7.7370
O 0.8891 0.8891 1.5137
O 0.9236 0.9236 4.6171
O 1.3841 3.2314 9.2455
O 1.4186 3.1968 6.1422
O 1.4214 3.1940 3.1085
O 3.1940 1.4214 3.1085
O 3.1968 1.4186 6.1422
O 3.2314 1.3841 9.2455
O 3.6918 3.6918 4.6171
O 3.7264 3.7264 1.5137
O 3.7292 3.7292 7.7370
```